Here is a relaxed RbPd2O2 crystal from Alexandria. Energies are from PBE-GGA.

Cell lengths 4.1989, 4.1989, 6.2366 Å; angles 70.33, 70.33, 90.00 degrees
Atoms (fractional coordinates):
Pd 0.7095 0.7095 0.5810
Pd 0.2905 0.2905 0.4190
O 0.7500 0.2500 0.5000
O 0.2500 0.7500 0.5000
Rb 0.0000 0.0000 0.0000

Summary:
- crystal system = tetragonal
- formation energy from raw total energies (eV per atom) = -0.4068
- total magnetic moment (μB per formula unit) = 0.00
- ΔE to the lowest computed polymorph (eV per formula unit) = 0.70


Here is a relaxed YInSb2 crystal from Alexandria. Energies are from PBE-GGA.

Cell lengths 6.9391, 6.9391, 8.1844 Å; angles 64.92, 64.92, 90.00 degrees
Atoms (fractional coordinates):
Sb 0.8750 0.8927 0.7500
Sb 0.1073 0.6250 0.2500
Sb 0.3750 0.3573 0.7500
Sb 0.6427 0.1250 0.2500
Y 0.5000 0.5000 0.0000
Y 0.2500 0.7500 0.5000
In 0.7500 0.2500 0.5000
In 0.0000 0.0000 0.0000

Summary:
- crystal system = tetragonal
- formation energy from raw total energies (eV per atom) = -0.3103
- total magnetic moment (μB per formula unit) = 0.00


Here is a relaxed AlSb crystal from Alexandria. Energies are from PBE-GGA.

Cell lengths 5.1103, 5.1103, 5.1103 Å; angles 60.00, 60.00, 60.00 degrees
Atoms (fractional coordinates):
Al 0.2500 0.2500 0.2500
Al 0.0000 0.0000 0.0000
Sb 0.7500 0.7500 0.7500
Sb 0.5000 0.5000 0.5000

Summary:
- crystal system = cubic
- formation energy from raw total energies (eV per atom) = 0.2993
- total magnetic moment (μB per formula unit) = 0.00


What did the second record say?
Here is a relaxed YInSb2 crystal from Alexandria. Energies are from PBE-GGA.

Cell lengths 6.9391, 6.9391, 8.1844 Å; angles 64.92, 64.92, 90.00 degrees
Atoms (fractional coordinates):
Sb 0.8750 0.8927 0.7500
Sb 0.1073 0.6250 0.2500
Sb 0.3750 0.3573 0.7500
Sb 0.6427 0.1250 0.2500
Y 0.5000 0.5000 0.0000
Y 0.2500 0.7500 0.5000
In 0.7500 0.2500 0.5000
In 0.0000 0.0000 0.0000

Summary:
- crystal system = tetragonal
- formation energy from raw total energies (eV per atom) = -0.3103
- total magnetic moment (μB per formula unit) = 0.00


Which of these has the lowest formation energy from raw total energies?
RbPd2O2


Which formula does entry 3 have?
AlSb


Which formula does entry 2 have?
YInSb2